Arrangement one

# KIrBr GGA-PBE optimized geometry
data_KIrBr
_chemical_formula_sum 'K2 Ir2 Br2'
_cell_length_a 3.222
_cell_length_b 3.222
_cell_length_c 13.374
_cell_angle_alpha 90.00
_cell_angle_beta 90.00
_cell_angle_gamma 90.00
_space_group_name_H-M_alt 'I 4 m m'
_space_group_IT_number 107
_space_group_name_Hall 'I 4 -2'
loop_
_atom_site_label
_atom_site_type_symbol
_atom_site_fract_x
_atom_site_fract_y
_atom_site_fract_z
_atom_site_occupancy
K1 K 0.000 0.000 0.000 1
Ir1 Ir 0.000 0.000 0.313 1
Br1 Br 0.000 0.000 0.689 1
# DOS at the Fermi energy in states/eV per cell: 6.56

***

Arrangement two

# KIrBr GGA-PBE optimized geometry
data_KIrBr
_chemical_formula_sum 'K1 Ir1 Br1'
_cell_length_a 4.2819
_cell_length_b 4.2819
_cell_length_c 5.1318
_cell_angle_alpha 90.00
_cell_angle_beta 90.00
_cell_angle_gamma 120.00
_space_group_name_H-M_alt 'P -6 m 2'
_space_group_IT_number 187
_space_group_name_Hall 'P -6 2'
loop_
_atom_site_label
_atom_site_type_symbol
_atom_site_fract_x
_atom_site_fract_y
_atom_site_fract_z
_atom_site_occupancy
K1 K 0.0000 0.0000 0.0000 1
Ir1 Ir 0.3333 0.6667 0.5000 1
Br1 Br 0.6667 0.3333 0.5000 1
# DOS at the Fermi energy in states/eV per cell: 3.71

***

Arrangement three

# KIrBr GGA-PBE optimized geometry
data_KIrBr
_chemical_formula_sum 'K2 Ir2 Br2'
_cell_length_a 3.151
_cell_length_b 4.197
_cell_length_c 11.532
_cell_angle_alpha 90.00
_cell_angle_beta 90.00
_cell_angle_gamma 90.00
_space_group_name_H-M_alt 'I m m 2'
_space_group_IT_number 44
_space_group_name_Hall 'I 2 -2'
loop_
_atom_site_label
_atom_site_type_symbol
_atom_site_fract_x
_atom_site_fract_y
_atom_site_fract_z
_atom_site_occupancy
K1 K 0.000 0.000 0.000 1
Ir1 Ir 0.000 0.000 0.273 1
Br1 Br 0.000 0.000 0.737 1
# DOS at the Fermi energy in states/eV per cell: 2.66

***

Which structure is most stable? arrangement two, by 0.136 eV/atom over the runner-up.